Compound: CaNd4Sm10
Source: Alexandria via LeMat-Bulk
Functional: PBE-GGA
Structure: optimized geometry

abc: 11.6430 9.1027 9.1027
angles: 65.86 50.24 50.24
Last column: nearest neighbours and their distance in Å.
Fractional coordinates of all 15 atoms:
Ca (0.0000, 0.0000, 0.0000)  8 Sm 3.18
Nd (0.5677, 0.6149, 0.2498)  6 Sm 3.49-3.88, 1 Nd 3.85
Nd (0.8174, 0.7502, 0.6149)  6 Sm 3.49-3.88, 1 Nd 3.85
Nd (0.1826, 0.2498, 0.3851)  6 Sm 3.49-3.88, 1 Nd 3.85
Nd (0.4323, 0.3851, 0.7502)  6 Sm 3.49-3.88, 1 Nd 3.85
Sm (0.2500, 0.5000, 0.5000)  4 Sm 3.09
Sm (0.7199, 0.3498, 0.8877)  2 Sm 3.09-3.34, 1 Ca 3.18
Sm (0.9304, 0.1123, 0.3498)  2 Sm 3.09-3.34, 1 Ca 3.18
Sm (0.3924, 0.8877, 0.6502)  2 Sm 3.09-3.34, 1 Ca 3.18
Sm (0.9574, 0.6502, 0.1123)  2 Sm 3.09-3.34, 1 Ca 3.18
Sm (0.2801, 0.6502, 0.1123)  2 Sm 3.09-3.34, 1 Ca 3.18
Sm (0.7500, 0.5000, 0.5000)  4 Sm 3.09
Sm (0.0426, 0.3498, 0.8877)  2 Sm 3.09-3.34, 1 Ca 3.18
Sm (0.6076, 0.1123, 0.3498)  2 Sm 3.09-3.34, 1 Ca 3.18
Sm (0.0696, 0.8877, 0.6502)  2 Sm 3.09-3.34, 1 Ca 3.18

energy relative to the elements: 0.423 eV/atom
crystal system: tetragonal
density: 6.2 g/cm³
total DFT energy (no corrections): -61.92 eV/cell